No. 1
Below is CaSc2Tl at its PBEsol-relaxed geometry, with properties calculated at the meta-GGA SCAN level.

Results
- calculated total energy (Ry/atom) = -2.0389
- space group = P4/mmm (123)

abc: 3.3597 3.3597 9.3507
angles: 90.00 90.00 90.00
Fractional positions:
Sc  0.0000  0.0000  0.7908
Sc  0.0000  0.0000  0.2092
Tl  0.5000  0.5000  0.0000
Ca  0.5000  0.5000  0.5000

---

No. 2
Below is CaSc2Tl at its PBEsol-relaxed geometry, with properties calculated at the meta-GGA SCAN level.

Results
- calculated total energy (Ry/atom) = -2.0444
- space group = Pmm2 (25)

abc: 3.3788 4.5413 6.5954
angles: 90.00 90.00 90.00
Fractional positions:
Sc  0.5000  0.5000  0.2491
Sc  0.0000  0.0000  0.0301
Ca  0.5000  0.5000  0.7391
Tl  0.0000  0.0000  0.4818

---

No. 3
Below is Ca2ScW at its PBEsol-relaxed geometry, with properties calculated at the meta-GGA SCAN level.

Results
- calculated total energy (Ry/atom) = -1.8301
- space group = P4/mmm (123)

abc: 4.3740 4.3740 4.9039
angles: 90.00 90.00 90.00
Fractional positions:
Sc  0.5000  0.5000  0.5000
W  0.0000  0.0000  0.5000
Ca  0.5000  0.0000  0.0000
Ca  0.0000  0.5000  0.0000

---

No. 4
Below is CaScW2 at its PBEsol-relaxed geometry, with properties calculated at the meta-GGA SCAN level.

Results
- calculated total energy (Ry/atom) = -2.9492
- space group = Cmmm (65)

abc: 2.7816 2.7816 9.8779
angles: 90.00 90.00 102.81
Fractional positions:
Ca  0.5000  0.5000  0.5000
Sc  0.5000  0.5000  0.0000
W  0.0000  0.0000  0.7649
W  0.0000  0.0000  0.2351

---

No. 5
Below is Ca2ScW at its PBEsol-relaxed geometry, with properties calculated at the meta-GGA SCAN level.

Results
- calculated total energy (Ry/atom) = -1.8339
- space group = C2/m (12)

abc: 3.0604 5.6140 5.7214
angles: 97.81 105.51 90.00
Fractional positions:
W  0.5000  0.0000  0.0000
Sc  0.0000  0.5000  0.0000
Ca  0.2361  0.2325  0.4722
Ca  0.7639  0.7675  0.5278

---

No. 6
Below is CaScW at its PBEsol-relaxed geometry, with properties calculated at the meta-GGA SCAN level.

Results
- calculated total energy (Ry/atom) = -2.2394
- space group = P-6m2 (187)

abc: 2.7065 5.0879 5.0879
angles: 120.00 90.00 90.00
Fractional positions:
W  0.5000  0.6667  0.3333
Sc  0.0000  0.3333  0.6667
Ca  0.0000  0.0000  0.0000

---

No. 7
Below is Ca2ScW at its PBEsol-relaxed geometry, with properties calculated at the meta-GGA SCAN level.

Results
- calculated total energy (Ry/atom) = -1.8335
- space group = F-43m (216)

abc: 5.0979 5.0979 5.0979
angles: 60.00 60.00 60.00
Fractional positions:
Sc  0.5000  0.5000  0.5000
Ca  0.7500  0.7500  0.7500
Ca  0.0000  0.0000  0.0000
W  0.2500  0.2500  0.2500

---

No. 8
Below is CaScW2 at its PBEsol-relaxed geometry, with properties calculated at the meta-GGA SCAN level.

Results
- calculated total energy (Ry/atom) = -2.9492
- space group = P4/mmm (123)

abc: 2.7588 2.7588 9.8581
angles: 90.00 90.00 90.00
Fractional positions:
Sc  0.5000  0.5000  0.5000
Ca  0.5000  0.5000  0.0000
W  0.0000  0.0000  0.2656
W  0.0000  0.0000  0.7344

---

Number 1: ρ 5.26 g cm⁻³. Number 2: ρ 5.49 g cm⁻³. Number 3: ρ 5.47 g cm⁻³. Number 4: ρ 10.09 g cm⁻³. Number 5: ρ 5.47 g cm⁻³. Number 6: ρ 7.36 g cm⁻³. Number 7: ρ 5.48 g cm⁻³. Number 8: ρ 10.02 g cm⁻³.